Pa5As2Se5: optimized geometry, PBE.

formation energy (no corrections): -1.09 eV per atom
final energy: -7.272 eV/atom

Unit cell a=13.278 b=3.951 c=12.188 alpha=90.00 beta=106.39 gamma=90.00
Space group C2/m (No. 12)
Symmetry-distinct sites (fractional):
1 Pa 0.000 0.000 0.000
2 Pa 0.127 0.000 0.430
3 Pa 0.192 0.500 0.804
4 As 0.031 0.000 0.783
5 Se 0.000 0.500 0.500
6 Se 0.163 0.500 0.049
7 Se 0.234 0.500 0.334



Pa5AsSe5: optimized geometry, PBE.

formation energy (no corrections): -1.25 eV per atom
final energy: -7.577 eV/atom

Unit cell a=12.776 b=5.717 c=8.052 alpha=90.00 beta=108.31 gamma=90.00
Space group C2/m (No. 12)
Symmetry-distinct sites (fractional):
1 Pa 0.000 0.000 0.000
2 Pa 0.166 0.500 0.332
3 Pa 0.169 0.500 0.836
4 As 0.000 0.500 0.000
5 Se 0.000 0.500 0.500
6 Se 0.158 0.000 0.815
7 Se 0.159 0.000 0.342



Pa4As5Se: optimized geometry, PBE.

formation energy (no corrections): -0.86 eV per atom
final energy: -7.333 eV/atom

Unit cell a=14.976 b=4.685 c=7.020 alpha=90.00 beta=90.89 gamma=90.00
Space group C2/m (No. 12)
Symmetry-distinct sites (fractional):
1 Pa 0.011 0.000 0.252
2 Pa 0.197 0.500 0.748
3 As 0.000 0.500 0.500
4 As 0.160 0.000 0.985
5 As 0.161 0.000 0.515
6 Se 0.000 0.500 0.000



Pa3AsSe2: optimized geometry, PBE.

formation energy (no corrections): -1.16 eV per atom
final energy: -7.845 eV/atom

Unit cell a=4.047 b=5.769 c=12.352 alpha=90.00 beta=90.00 gamma=90.00
Space group Immm (No. 71)
Symmetry-distinct sites (fractional):
1 Pa 0.000 0.000 0.000
2 Pa 0.000 0.000 0.334
3 As 0.000 0.500 0.000
4 Se 0.000 0.500 0.334



Pa3AsSe3: optimized geometry, PBE.

distance to the lowest polymorph of the same formula: 0.000 eV per atom
formation energy (no corrections): -1.24 eV per atom
final energy: -7.472 eV/atom

Unit cell a=11.441 b=11.441 c=11.441 alpha=90.00 beta=90.00 gamma=90.00
Space group I4_132 (No. 214)
Symmetry-distinct sites (fractional):
1 Pa 0.124 0.374 0.125
2 As 0.125 0.125 0.125
3 Se 0.120 0.130 0.625



Pa4As3Se4: optimized geometry, PBE.

formation energy (no corrections): -1.01 eV per atom
final energy: -7.001 eV/atom

Unit cell a=10.106 b=4.047 c=13.283 alpha=90.00 beta=90.00 gamma=90.00
Space group Amm2 (No. 38)
Symmetry-distinct sites (fractional):
1 Pa 0.000 0.000 0.000
2 Pa 0.226 0.000 0.775
3 Pa 0.500 0.000 0.018
4 As 0.000 0.000 0.344
5 As 0.346 0.000 0.403
6 Se 0.000 0.000 0.644
7 Se 0.245 0.000 0.117
8 Se 0.500 0.000 0.684



Pa4SiAsSe2: optimized geometry, PBE.

formation energy (no corrections): -1.01 eV per atom
final energy: -7.886 eV/atom

Unit cell a=6.916 b=4.110 c=7.178 alpha=90.00 beta=109.89 gamma=90.00
Space group P2/m (No. 10)
Symmetry-distinct sites (fractional):
1 Pa 0.243 0.000 0.244
2 Pa 0.247 0.500 0.753
3 Si 0.000 0.500 0.000
4 As 0.000 0.000 0.500
5 Se 0.500 0.000 0.000
6 Se 0.500 0.500 0.500



Pa4SiAs2Se: optimized geometry, PBE.

formation energy (no corrections): -0.96 eV per atom
final energy: -7.985 eV/atom

Unit cell a=7.059 b=4.086 c=7.091 alpha=90.00 beta=109.45 gamma=90.00
Space group P2/m (No. 10)
Symmetry-distinct sites (fractional):
1 Pa 0.244 0.000 0.246
2 Pa 0.246 0.500 0.751
3 Si 0.000 0.500 0.000
4 As 0.000 0.000 0.500
5 As 0.500 0.500 0.500
6 Se 0.500 0.000 0.000



Pa6SiAs2Se3: optimized geometry, PBE.

formation energy (no corrections): -1.05 eV per atom
final energy: -7.900 eV/atom

Unit cell a=17.627 b=4.138 c=8.044 alpha=90.00 beta=101.12 gamma=90.00
Space group C2/m (No. 12)
Symmetry-distinct sites (fractional):
1 Pa 0.000 0.000 0.244
2 Pa 0.164 0.500 0.082
3 Pa 0.166 0.500 0.583
4 Si 0.000 0.500 0.000
5 As 0.167 0.000 0.334
6 Se 0.000 0.500 0.500
7 Se 0.167 0.000 0.834



SmPaAsSe: optimized geometry, PBE.

formation energy (no corrections): -1.32 eV per atom
final energy: -6.907 eV/atom

Unit cell a=4.0103 b=4.0103 c=22.0422 alpha=90.00 beta=90.00 gamma=120.00
Space group R3m (No. 160, hexagonal axes)
Symmetry-distinct sites (fractional):
1 Sm 0.0000 0.0000 0.0000
2 Pa 0.0000 0.0000 0.1785
3 As 0.0000 0.0000 0.5879
4 Se 0.0000 0.0000 0.7587



Pa4TeAs2Se: optimized geometry, PBE.

formation energy (no corrections): -0.97 eV per atom
final energy: -7.712 eV/atom

Unit cell a=7.028 b=4.057 c=7.471 alpha=90.00 beta=108.29 gamma=90.00
Space group P2/m (No. 10)
Symmetry-distinct sites (fractional):
1 Pa 0.233 0.000 0.231
2 Pa 0.243 0.500 0.761
3 Te 0.500 0.500 0.500
4 As 0.000 0.500 0.000
5 As 0.500 0.000 0.000
6 Se 0.000 0.000 0.500



YPaAsSe: optimized geometry, PBE.

formation energy (no corrections): -1.31 eV per atom
final energy: -7.335 eV/atom

Unit cell a=3.9651 b=3.9651 c=21.8577 alpha=90.00 beta=90.00 gamma=120.00
Space group R3m (No. 160, hexagonal axes)
Symmetry-distinct sites (fractional):
1 Y 0.0000 0.0000 0.0000
2 Pa 0.0000 0.0000 0.8214
3 As 0.0000 0.0000 0.4100
4 Se 0.0000 0.0000 0.2434



The lowest final energy belongs to which entry? Pa4SiAs2Se



Which of these has the highest formation energy (no corrections)? Pa4As5Se